Record 1
{
  "formula": "Pd2PtW",
  "functional": "PBE-GGA",
  "state": "optimized geometry",
  "lattice": [[2.7864, 0.0000, 0.0000], [0.0000, 2.7864, 0.0000], [0.0000, 0.0000, 7.9914]],
  "species": ["Pd", "Pd", "Pt", "W"],
  "fractional_positions": [[0.0000, 0.0000, 0.0000], [0.5000, 0.5000, 0.2585], [0.5000, 0.5000, 0.7396], [0.0000, 0.0000, 0.4992]],
  "spacegroup": "No. 99",
  "relative_energy_kj_per_mol_fu": 0
}

=====

Record 2
{
  "formula": "MnSb2TeI",
  "functional": "PBE-GGA",
  "state": "optimized geometry",
  "lattice": [[4.9982, 0.0000, 0.0000], [0.0000, 4.9982, 0.0000], [0.0000, 0.0000, 5.3171]],
  "species": ["Mn", "Sb", "Sb", "Te", "I"],
  "fractional_positions": [[0.0000, 0.0000, 0.0000], [0.0000, 0.5000, 0.0000], [0.5000, 0.0000, 0.0000], [0.5000, 0.5000, 0.5000], [0.0000, 0.0000, 0.5000]],
  "spacegroup": "No. 123",
  "relative_energy_kj_per_mol_fu": 73,
  "raw_formation_energy_ev_per_atom": 0.4409
}

=====

Record 3
{
  "formula": "Ac3TbCl",
  "functional": "PBE-GGA",
  "state": "optimized geometry",
  "lattice": [[5.8145, 0.0000, 0.0000], [0.0000, 5.8145, 0.0000], [0.0000, 0.0000, 5.8145]],
  "species": ["Ac", "Ac", "Ac", "Tb", "Cl"],
  "fractional_positions": [[0.0000, 0.0000, 0.5000], [0.0000, 0.5000, 0.0000], [0.5000, 0.0000, 0.0000], [0.5000, 0.5000, 0.5000], [0.0000, 0.0000, 0.0000]],
  "spacegroup": "No. 221",
  "raw_formation_energy_ev_per_atom": -0.4565
}

=====

Record 4
{
  "formula": "DyTmAs2",
  "functional": "PBE-GGA",
  "state": "optimized geometry",
  "lattice": [[-2.8914, 2.8914, 5.7861], [2.8914, -2.8914, 5.7861], [2.8914, 2.8914, -5.7861]],
  "species": ["Dy", "Dy", "Tm", "Tm", "As", "As", "As", "As"],
  "fractional_positions": [[0.3750, 0.6250, 0.7500], [0.6250, 0.3750, 0.2500], [0.1250, 0.8750, 0.2500], [0.8750, 0.1250, 0.7500], [0.1236, 0.3736, 0.7500], [0.3736, 0.1236, 0.2500], [0.6264, 0.8764, 0.7500], [0.8764, 0.6264, 0.2500]],
  "spacegroup": "No. 141",
  "relative_energy_kj_per_mol_fu": 0
}

=====

Record 5
{
  "formula": "Sm2PaCu",
  "functional": "PBE-GGA",
  "state": "optimized geometry",
  "lattice": [[3.4683, 0.0000, 0.0000], [0.0000, 3.4683, 0.0000], [0.0000, 0.0000, 8.4234]],
  "species": ["Sm", "Sm", "Pa", "Cu"],
  "fractional_positions": [[0.0000, 0.0000, 0.2172], [0.0000, 0.0000, 0.7828], [0.5000, 0.5000, 0.5000], [0.5000, 0.5000, 0.0000]],
  "spacegroup": "No. 123",
  "relative_energy_kj_per_mol_fu": 0
}

=====

Record 6
{
  "formula": "VNiPtRh",
  "functional": "PBE-GGA",
  "state": "optimized geometry",
  "lattice": [[-1.9164, 1.9164, 3.6608], [1.9164, -1.9164, 3.6608], [1.9164, 1.9164, -3.6608]],
  "species": ["V", "Ni", "Pt", "Rh"],
  "fractional_positions": [[0.0000, 0.0000, 0.0000], [0.5000, 0.5000, 0.0000], [0.2500, 0.7500, 0.5000], [0.7500, 0.2500, 0.5000]],
  "spacegroup": "No. 119",
  "e_tot_ev_per_atom": -7.480
}

=====

Record 7
{
  "formula": "CaFe4Mo",
  "functional": "PBE-GGA",
  "state": "optimized geometry",
  "lattice": [[0.0000, 3.4777, 3.4777], [3.4777, 0.0000, 3.4777], [3.4777, 3.4777, 0.0000]],
  "species": ["Ca", "Fe", "Fe", "Fe", "Fe", "Mo"],
  "fractional_positions": [[0.0000, 0.0000, 0.0000], [0.1276, 0.6241, 0.6241], [0.6241, 0.1276, 0.6241], [0.6241, 0.6241, 0.1276], [0.6241, 0.6241, 0.6241], [0.2500, 0.2500, 0.2500]],
  "spacegroup": "No. 216",
  "e_tot_ev_per_atom": -7.497
}

=====

Record 8
{
  "formula": "Pm12Rh6O",
  "functional": "PBE-GGA",
  "state": "optimized geometry",
  "lattice": [[6.2157, 3.5886, 3.9131], [-6.2157, 3.5886, 3.9131], [0.0000, -7.1773, 3.9131]],
  "species": ["Pm", "Pm", "Pm", "Pm", "Pm", "Pm", "Pm", "Pm", "Pm", "Pm", "Pm", "Pm", "Rh", "Rh", "Rh", "Rh", "Rh", "Rh", "O"],
  "fractional_positions": [[0.0407, 0.6913, 0.9188], [0.0812, 0.9593, 0.3087], [0.1765, 0.4137, 0.5816], [0.3087, 0.0812, 0.9593], [0.4137, 0.5816, 0.1765], [0.4184, 0.8235, 0.5863], [0.5816, 0.1765, 0.4137], [0.5863, 0.4184, 0.8235], [0.6913, 0.9188, 0.0407], [0.8235, 0.5863, 0.4184], [0.9188, 0.0407, 0.6913], [0.9593, 0.3087, 0.0812], [0.1275, 0.6198, 0.3016], [0.3016, 0.1275, 0.6198], [0.3802, 0.6984, 0.8725], [0.6198, 0.3016, 0.1275], [0.6984, 0.8725, 0.3802], [0.8725, 0.3802, 0.6984], [0.0000, 0.0000, 0.0000]],
  "spacegroup": "No. 148",
  "raw_formation_energy_ev_per_atom": -0.7248
}

=====

Record 9
{
  "formula": "Ce2YThAs4",
  "functional": "PBE-GGA",
  "state": "optimized geometry",
  "lattice": [[7.2767, 0.0000, 0.0000], [0.0000, 4.2134, 0.0000], [-2.4351, 0.0000, 6.8885]],
  "species": ["Ce", "Ce", "Y", "Th", "As", "As", "As", "As"],
  "fractional_positions": [[0.0000, 0.0000, 0.0000], [0.5000, 0.5000, 0.0000], [0.0000, 0.5000, 0.5000], [0.5000, 0.0000, 0.5000], [0.2461, 0.0000, 0.7474], [0.2464, 0.5000, 0.2504], [0.7539, 0.0000, 0.2526], [0.7536, 0.5000, 0.7496]],
  "spacegroup": "No. 10",
  "e_tot_ev_per_atom": -7.006
}

=====

Record 10
{
  "formula": "AgTe3Pt",
  "functional": "PBE-GGA",
  "state": "optimized geometry",
  "lattice": [[5.3517, 0.0000, 0.0000], [0.0000, 5.3517, 0.0000], [0.0000, 0.0000, 5.3517]],
  "species": ["Ag", "Te", "Te", "Te", "Pt"],
  "fractional_positions": [[0.0000, 0.0000, 0.0000], [0.0000, 0.5000, 0.5000], [0.5000, 0.0000, 0.5000], [0.5000, 0.5000, 0.0000], [0.5000, 0.5000, 0.5000]],
  "spacegroup": "No. 221",
  "relative_energy_kj_per_mol_fu": 0,
  "raw_formation_energy_ev_per_atom": 0.4695
}

=====

Record 11
{
  "formula": "SiHgBr2",
  "functional": "PBE-GGA",
  "state": "optimized geometry",
  "lattice": [[1.9686, 1.1366, 11.0797], [-1.9686, 1.1366, 11.0797], [0.0000, -2.2732, 11.0797]],
  "species": ["Si", "Hg", "Br", "Br"],
  "fractional_positions": [[0.0000, 0.0000, 0.0000], [0.5000, 0.5000, 0.5000], [0.3813, 0.3813, 0.3813], [0.6187, 0.6187, 0.6187]],
  "spacegroup": "No. 166",
  "relative_energy_kj_per_mol_fu": 22,
  "raw_formation_energy_ev_per_atom": -0.1756
}

=====

Record 12
{
  "formula": "LaPrHoZr",
  "functional": "PBE-GGA",
  "state": "optimized geometry",
  "lattice": [[0.0000, 3.9435, 3.9435], [3.9435, 0.0000, 3.9435], [3.9435, 3.9435, 0.0000]],
  "species": ["La", "Pr", "Ho", "Zr"],
  "fractional_positions": [[0.0000, 0.0000, 0.0000], [0.5000, 0.5000, 0.5000], [0.2500, 0.2500, 0.2500], [0.7500, 0.7500, 0.7500]],
  "spacegroup": "No. 216",
  "e_tot_ev_per_atom": -5.507
}

=====

| no. | DOS at the Fermi energy (states/eV per atom) | total moment (μB per atom) |
| --- | --- | --- |
| 1 | 1.332 | 0.000 |
| 2 | 1.070 | 0.000 |
| 3 | 1.127 | 0.000 |
| 4 | 0.125 | 0.000 |
| 5 | 1.398 | 0.000 |
| 6 | 1.002 | 0.000 |
| 7 | 0.577 | 0.990 |
| 8 | 0.793 | 0.000 |
| 9 | 1.491 | 0.193 |
| 10 | 1.582 | 0.000 |
| 11 | 0.000 | 0.000 |
| 12 | 1.805 | 0.027 |